Record 1
A geometry-optimized Tb4Nd5Sm structure. Source: the Alexandria database, functional PBE.

Results
Calculated total energy = -4.560 eV/atom
Crystal system = monoclinic
DOS(E_F) = 31.229 states/eV/cell
Spin magnetization = 0.00 μB per formula unit
Polymorph energy (0 for the lowest one) = 134 meV/atom
Formation enthalpy at 0 K = 147 meV per atom
Calculated volume = 696.87 Å³ per cell

Cell: 18.3375 3.6111 10.5838 Å, 90.00 96.10 90.00°
Last column: nearest neighbours and their distance in Å.
Space group C2/m (No. 12)
Symmetry-distinct sites (fractional):
Tb 0.0457 0.0000 0.2609 (multiplicity 4)  2 Sm 3.29, 4 Nd 3.31-3.45, 4 Tb 3.36-3.61
Tb 0.1829 0.5000 0.4115 (multiplicity 4)  6 Tb 3.36-3.61, 1 Sm 3.58, 1 Nd 3.69
Nd 0.0000 0.5000 0.0000 (multiplicity 2)  4 Tb 3.33, 2 Nd 3.61
Nd 0.1421 0.0000 0.7319 (multiplicity 4)  2 Tb 3.45-3.69, 4 Nd 3.61-3.86, 2 Sm 3.84
Nd 0.1894 0.0000 0.0970 (multiplicity 4)  1 Tb 3.31, 4 Nd 3.61-3.66
Sm 0.0000 0.5000 0.5000 (multiplicity 2)  6 Tb 3.29-3.58, 2 Sm 3.61

***

Record 2
A geometry-optimized KAlFeH6 structure. Source: the Alexandria database, functional PBE.

Results
Calculated total energy = -3.922 eV/atom
Crystal system = trigonal
Spin magnetization = 0.07 μB per formula unit
Calculated volume = 93.45 Å³ per cell

Cell: 4.2889 4.2889 5.8665 Å, 90.00 90.00 120.00°
Last column: nearest neighbours and their distance in Å.
Space group P312 (No. 149)
Symmetry-distinct sites (fractional):
K 0.0000 0.0000 0.0000 (multiplicity 1)  6 H 2.48
Al 0.3333 0.6667 0.5000 (multiplicity 1)  6 H 1.82
Fe 0.6667 0.3333 0.5000 (multiplicity 1)  6 H 1.58
H 0.3804 0.0443 0.6688 (multiplicity 6)  1 Fe 1.58

***

Record 3
A geometry-optimized TaAg2Au structure. Source: the Alexandria database, functional PBE.

Results
Calculated total energy = -4.993 eV/atom
Crystal system = monoclinic
DOS(E_F) = 5.325 states/eV/cell
Spin magnetization = 0.00 μB per formula unit
Polymorph energy (0 for the lowest one) = 124 meV/atom
Formation enthalpy at 0 K = 215 meV per atom
Calculated volume = 142.18 Å³ per cell

Cell: 9.6246 2.8327 5.2619 Å, 90.00 97.68 90.00°
Last column: nearest neighbours and their distance in Å.
Space group Cm (No. 8)
Symmetry-distinct sites (fractional):
Ta 0.0000 0.0000 0.0000 (multiplicity 2)  3 Au 2.83-2.85, 2 Ta 2.83, 7 Ag 2.97-3.00
Ag 0.2496 0.0000 0.7242 (multiplicity 2)  5 Ag 2.81-2.93, 4 Au 2.94-3.04, 3 Ta 2.97-3.00
Ag 0.4970 0.0000 0.4960 (multiplicity 2)  5 Ag 2.81-2.93, 4 Ta 2.97-3.00, 3 Au 2.98-3.02
Au 0.2455 0.5000 0.2131 (multiplicity 2)  3 Ta 2.83-2.85, 2 Au 2.83, 7 Ag 2.94-3.04

***

Record 4
A geometry-optimized CsRb2CaAu structure. Source: the Alexandria database, functional PBE.

Results
Calculated total energy = -1.708 eV/atom
Crystal system = tetragonal
DOS(E_F) = 3.782 states/eV/cell
Spin magnetization = 0.00 μB per formula unit
Formation enthalpy at 0 K = -95 meV per atom
Calculated volume = 298.73 Å³ per cell

Cell: 7.0643 7.0643 5.9861 Å, 90.00 90.00 90.00°
Last column: nearest neighbours and their distance in Å.
Space group P4/mmm (No. 123)
Symmetry-distinct sites (fractional):
Cs 0.0000 0.0000 0.0000 (multiplicity 1)  8 Rb 4.63, 4 Ca 5.00
Rb 0.0000 0.5000 0.5000 (multiplicity 2)  2 Au 3.53
Ca 0.5000 0.5000 0.0000 (multiplicity 1)  2 Au 2.99
Au 0.5000 0.5000 0.5000 (multiplicity 1)  2 Ca 2.99

***

Record 5
A geometry-optimized Pm5Ag2Sn structure. Source: the Alexandria database, functional PBE.

Results
Calculated total energy = -4.517 eV/atom
Crystal system = tetragonal
DOS(E_F) = 41.164 states/eV/cell
Spin magnetization = 0.00 μB per formula unit
Formation enthalpy at 0 K = -335 meV per atom
Calculated volume = 932.22 Å³ per cell

Cell: 8.3024 8.3024 13.5241 Å, 90.00 90.00 90.00°
Last column: nearest neighbours and their distance in Å.
Space group I4/mcm (No. 140)
Symmetry-distinct sites (fractional):
Pm 0.0000 0.0000 0.0000 (multiplicity 4)  4 Ag 3.25, 2 Sn 3.38
Pm 0.1564 0.3436 0.1490 (multiplicity 16)  3 Ag 3.13-3.20, 2 Sn 3.42, 1 Pm 3.51
Ag 0.1314 0.3686 0.5000 (multiplicity 8)  1 Ag 3.09, 8 Pm 3.13-3.25
Sn 0.0000 0.0000 0.2500 (multiplicity 4)  10 Pm 3.38-3.42

***

Record 6
A geometry-optimized K3H4Pd2 structure. Source: the Alexandria database, functional PBE.

Results
Calculated total energy = -3.234 eV/atom
Crystal system = monoclinic
DOS(E_F) = 5.129 states/eV/cell
Spin magnetization = 0.00 μB per formula unit
Polymorph energy (0 for the lowest one) = 0 meV/atom
Calculated volume = 313.58 Å³ per cell

Cell: 11.8452 4.0468 8.7823 Å, 90.00 131.85 90.00°
Last column: nearest neighbours and their distance in Å.
Space group C2/m (No. 12)
Symmetry-distinct sites (fractional):
K 0.0000 0.0000 0.0000 (multiplicity 2)  6 H 2.75-2.88
K 0.1566 0.0000 0.7339 (multiplicity 4)  4 H 2.71-2.98
H 0.0596 0.5000 0.8278 (multiplicity 4)  1 Pd 1.75
H 0.1638 0.0000 0.4131 (multiplicity 4)  1 Pd 1.79
Pd 0.1348 0.5000 0.3869 (multiplicity 4)  2 H 1.75-1.79